[1]
Entry from the Alexandria database: a relaxed structure of Cu2TcTe (PBE).

a b c (Å): 5.7416 5.7416 5.7416
angles (deg): 101.68 101.68 126.52
Atoms (fractional coordinates):
Cu1 0.1229 0.6250 0.9979
Cu2 0.3750 0.3729 0.4979
Cu3 0.6271 0.1250 0.0021
Cu4 0.8750 0.8771 0.5021
Tc1 0.0000 0.0000 0.0000
Tc2 0.7500 0.2500 0.5000
Te1 0.2500 0.7500 0.5000
Te2 0.5000 0.5000 0.0000

## Properties
* theoretical density: 8.62 Mg/m³
* Fermi-level density of states: 5.26 states/eV/cell
* SG: I-42d, No. 122
* energy relative to the elements, uncorrected: 0.590 eV per atom

***

[2]
Entry from the Alexandria database: a relaxed structure of CuTc2Te (PBE).

a b c (Å): 4.8635 4.8635 4.5403
angles (deg): 106.20 106.20 37.91
Atoms (fractional coordinates):
Cu1 0.0000 0.0000 0.0000
Tc1 0.4927 0.4927 0.4750
Tc2 0.7433 0.7433 0.1482
Te1 0.2454 0.2454 0.6788

## Properties
* theoretical density: 10.20 Mg/m³
* Fermi-level density of states: 4.73 states/eV/cell
* SG: Cm, No. 8
* energy relative to the elements, uncorrected: 0.414 eV per atom

***

[3]
Entry from the Alexandria database: a relaxed structure of CuTc2Te (PBE).

a b c (Å): 2.8268 2.8268 8.6187
angles (deg): 90.00 90.00 105.82
Atoms (fractional coordinates):
Cu1 0.0000 0.0000 0.0000
Tc1 0.5000 0.5000 0.2221
Tc2 0.5000 0.5000 0.7779
Te1 0.0000 0.0000 0.5000

## Properties
* theoretical density: 9.70 Mg/m³
* Fermi-level density of states: 4.71 states/eV/cell
* SG: Cmmm, No. 65
* energy relative to the elements, uncorrected: 0.900 eV per atom

***

[4]
Entry from the Alexandria database: a relaxed structure of CuTc2Te (PBE).

a b c (Å): 9.7412 9.7412 9.7412
angles (deg): 156.95 156.95 32.82
Atoms (fractional coordinates):
Cu1 0.0000 0.0000 0.0000
Cu2 0.7500 0.2500 0.5000
Tc1 0.0538 0.6250 0.9288
Tc2 0.3750 0.3038 0.4288
Tc3 0.6962 0.1250 0.0712
Tc4 0.8750 0.9462 0.5712
Te1 0.2500 0.7500 0.5000
Te2 0.5000 0.5000 0.0000

## Properties
* theoretical density: 9.08 Mg/m³
* Fermi-level density of states: 4.81 states/eV/cell
* SG: I-42d, No. 122
* energy relative to the elements, uncorrected: 0.516 eV per atom

***

[5]
Entry from the Alexandria database: a relaxed structure of Cu2TcTe (PBE).

a b c (Å): 4.4388 4.4388 4.4388
angles (deg): 60.00 60.00 60.00
Atoms (fractional coordinates):
Cu1 0.0000 0.0000 0.0000
Cu2 0.2500 0.2500 0.2500
Tc1 0.5000 0.5000 0.5000
Te1 0.7500 0.7500 0.7500

## Properties
* theoretical density: 9.47 Mg/m³
* Fermi-level density of states: 3.49 states/eV/cell
* SG: F-43m, No. 216
* energy relative to the elements, uncorrected: 0.420 eV per atom

***

[6]
Entry from the Alexandria database: a relaxed structure of Cu2TcTe (PBE).

a b c (Å): 5.2553 5.2553 5.2553
angles (deg): 144.14 132.24 61.14
Atoms (fractional coordinates):
Cu1 0.2463 0.2463 0.0000
Cu2 0.7537 0.7537 0.0000
Tc1 0.5000 0.0000 0.5000
Te1 0.0000 0.5000 0.5000

## Properties
* theoretical density: 9.40 Mg/m³
* Fermi-level density of states: 3.18 states/eV/cell
* SG: Immm, No. 71
* energy relative to the elements, uncorrected: 0.437 eV per atom

***

[7]
Entry from the Alexandria database: a relaxed structure of Cu2TcTe (PBE).

a b c (Å): 2.9045 2.9045 8.6400
angles (deg): 90.00 90.00 111.95
Atoms (fractional coordinates):
Cu1 0.0000 0.0000 0.0000
Cu2 0.5000 0.5000 0.2096
Tc1 0.5000 0.5000 0.7696
Te1 0.0000 0.0000 0.5113

## Properties
* theoretical density: 8.66 Mg/m³
* Fermi-level density of states: 3.84 states/eV/cell
* SG: Cmm2, No. 35
* energy relative to the elements, uncorrected: 0.662 eV per atom

***

[8]
Entry from the Alexandria database: a relaxed structure of Cu2TcTe (PBE).

a b c (Å): 4.7869 4.7869 4.2912
angles (deg): 108.09 108.09 42.14
Atoms (fractional coordinates):
Cu1 0.0000 0.0000 0.0000
Cu2 0.7374 0.7374 0.1441
Tc1 0.5062 0.5062 0.4925
Te1 0.2452 0.2452 0.6604

## Properties
* theoretical density: 9.41 Mg/m³
* Fermi-level density of states: 2.99 states/eV/cell
* SG: Cm, No. 8
* energy relative to the elements, uncorrected: 0.321 eV per atom

***

[9]
Entry from the Alexandria database: a relaxed structure of Cu2TcTe (PBE).

a b c (Å): 2.8813 2.8813 8.3437
angles (deg): 90.00 90.00 90.00
Atoms (fractional coordinates):
Cu1 0.0000 0.0000 0.2038
Cu2 0.0000 0.0000 0.7962
Tc1 0.5000 0.5000 0.0000
Te1 0.5000 0.5000 0.5000

## Properties
* theoretical density: 8.46 Mg/m³
* Fermi-level density of states: 4.42 states/eV/cell
* SG: P4/mmm, No. 123
* energy relative to the elements, uncorrected: 0.587 eV per atom

***

[10]
Entry from the Alexandria database: a relaxed structure of CuTc2Te (PBE).

a b c (Å): 5.2317 5.2317 5.2317
angles (deg): 144.33 128.78 63.98
Atoms (fractional coordinates):
Cu1 0.0000 0.0000 0.0000
Tc1 0.2664 0.7664 0.5000
Tc2 0.7336 0.2336 0.5000
Te1 0.5000 0.5000 0.0000

## Properties
* theoretical density: 10.00 Mg/m³
* Fermi-level density of states: 4.86 states/eV/cell
* SG: Immm, No. 71
* energy relative to the elements, uncorrected: 0.553 eV per atom

***

[11]
Entry from the Alexandria database: a relaxed structure of CuTc2Te (PBE).

a b c (Å): 4.3869 4.3869 3.2022
angles (deg): 90.00 90.00 90.00
Atoms (fractional coordinates):
Cu1 0.0000 0.0000 0.0000
Tc1 0.0000 0.5000 0.5000
Tc2 0.5000 0.0000 0.5000
Te1 0.5000 0.5000 0.0000

## Properties
* theoretical density: 10.43 Mg/m³
* Fermi-level density of states: 3.49 states/eV/cell
* SG: P4/mmm, No. 123
* energy relative to the elements, uncorrected: 0.403 eV per atom

***

[12]
Entry from the Alexandria database: a relaxed structure of Cu4TcTe (PBE).

a b c (Å): 4.9483 4.9483 4.9483
angles (deg): 60.00 60.00 60.00
Atoms (fractional coordinates):
Cu1 0.1242 0.1242 0.1242
Cu2 0.1242 0.1242 0.6274
Cu3 0.1242 0.6274 0.1242
Cu4 0.6274 0.1242 0.1242
Tc1 0.7500 0.7500 0.7500
Te1 0.5000 0.5000 0.5000

## Properties
* theoretical density: 9.30 Mg/m³
* Fermi-level density of states: 4.24 states/eV/cell
* SG: F-43m, No. 216
* energy relative to the elements, uncorrected: 0.374 eV per atom

***

[13]
Entry from the Alexandria database: a relaxed structure of CuTc4Te (PBE).

a b c (Å): 5.2102 5.2102 5.2102
angles (deg): 60.00 60.00 60.00
Atoms (fractional coordinates):
Cu1 0.0000 0.0000 0.0000
Tc1 0.1239 0.6254 0.6254
Tc2 0.6254 0.1239 0.6254
Tc3 0.6254 0.6254 0.1239
Tc4 0.6254 0.6254 0.6254
Te1 0.2500 0.2500 0.2500

## Properties
* theoretical density: 9.68 Mg/m³
* Fermi-level density of states: 6.91 states/eV/cell
* SG: F-43m, No. 216
* energy relative to the elements, uncorrected: 0.651 eV per atom

***

[14]
Entry from the Alexandria database: a relaxed structure of CuTc2Te2 (PBE).

a b c (Å): 7.6165 7.6165 3.1853
angles (deg): 90.00 90.00 90.00
Atoms (fractional coordinates):
Cu1 0.0000 0.0000 0.0000
Cu2 0.5000 0.5000 0.0000
Tc1 0.1437 0.3563 0.5000
Tc2 0.3563 0.8563 0.5000
Tc3 0.6437 0.1437 0.5000
Tc4 0.8563 0.6437 0.5000
Te1 0.1537 0.6537 0.0000
Te2 0.3463 0.1537 0.0000
Te3 0.6537 0.8463 0.0000
Te4 0.8463 0.3463 0.0000

## Properties
* theoretical density: 9.25 Mg/m³
* Fermi-level density of states: 7.77 states/eV/cell
* SG: P4/mbm, No. 127
* offset from the most stable computed form: 108 meV/atom
* energy relative to the elements, uncorrected: 0.567 eV per atom

***

[15]
Entry from the Alexandria database: a relaxed structure of Cu2TcTe (PBE).

a b c (Å): 9.0069 9.0069 9.0069
angles (deg): 18.91 18.91 18.91
Atoms (fractional coordinates):
Cu1 0.2423 0.2423 0.2423
Cu2 0.7577 0.7577 0.7577
Tc1 0.5000 0.5000 0.5000
Te1 0.0000 0.0000 0.0000

## Properties
* theoretical density: 8.73 Mg/m³
* Fermi-level density of states: 5.73 states/eV/cell
* SG: R-3m, No. 166
* energy relative to the elements, uncorrected: 0.619 eV per atom